DFT (PBE) results for a relaxed YLuTe3 crystal.

Cell: 28.1415 5.9293 9.2113 Å, 90.00 154.47 90.00°
With the nearest neighbours (Å) after each atom.
Fractional coordinates of all 20 atoms:
Y 0.1009 0.2257 0.7088  6 Te 3.00-3.32
Y 0.8991 0.7743 0.2912  6 Te 3.00-3.32
Y 0.3991 0.7257 0.7912  6 Te 3.00-3.32
Y 0.6009 0.2743 0.2088  6 Te 3.00-3.32
Lu 0.6256 0.7576 0.8517  6 Te 2.93-3.13
Lu 0.3744 0.2424 0.1483  6 Te 2.93-3.13
Lu 0.8744 0.2576 0.6483  6 Te 2.93-3.13
Lu 0.1256 0.7424 0.3517  6 Te 2.93-3.13
Te 0.3746 0.7400 0.0808  4 Lu 3.02-3.13, 1 Y 3.30
Te 0.6254 0.2600 0.9192  4 Lu 3.02-3.13, 1 Y 3.30
Te 0.1254 0.2400 0.4192  4 Lu 3.02-3.13, 1 Y 3.30
Te 0.8746 0.7600 0.5808  4 Lu 3.02-3.13, 1 Y 3.30
Te 0.3445 0.3108 0.3784  1 Lu 2.93, 1 Y 3.00
Te 0.6555 0.6892 0.6216  1 Lu 2.93, 1 Y 3.00
Te 0.1555 0.8108 0.1216  1 Lu 2.93, 1 Y 3.00
Te 0.8445 0.1892 0.8784  1 Lu 2.93, 1 Y 3.00
Te 0.5660 0.7739 0.0031  1 Lu 3.00, 3 Y 3.07-3.16
Te 0.4340 0.2261 0.9969  1 Lu 3.00, 3 Y 3.07-3.16
Te 0.9340 0.2739 0.4969  1 Lu 3.00, 3 Y 3.07-3.16
Te 0.0660 0.7261 0.5031  1 Lu 3.00, 3 Y 3.07-3.16

Computed properties:
The calculation puts the uncorrected formation energy at -1.221 eV/atom. For the total energy, the calculation gives -106.06 eV for the cell shown. The calculation puts the energy above the most stable polymorph in this dataset at 0.170 eV/atom. The space group is No. 14. The density of states at the Fermi level is 0.00 states/eV/f.u.